## i
The following is a PBE calculation of a geometry-optimized DyHfHg2 structure, from Alexandria.

Cell lengths 3.596, 3.596, 7.208 Å; angles 90.00, 90.00, 90.00 degrees
Each line ends with the local moment (μB).
Fractional positions:
Hf: 0.500 0.500 0.000  0.21
Hg: 0.000 0.000 0.769  0.01
Hg: 0.000 0.000 0.231  0.01
Dy: 0.500 0.500 0.500  0.21

***

## ii
The following is a PBE calculation of a geometry-optimized DyHfHg2 structure, from Alexandria.

Cell lengths 5.096, 5.096, 5.096 Å; angles 60.00, 60.00, 60.00 degrees
Each line ends with the local moment (μB).
Fractional positions:
Hf: 0.000 0.000 0.000  0.41
Hg: 0.250 0.250 0.250  0.02
Hg: 0.750 0.750 0.750  0.02
Dy: 0.500 0.500 0.500  0.25

***

Which one sits at the bottom of the stability order? ii does.

***

## i
The following is a PBE calculation of a geometry-optimized DyHoHf structure, from Alexandria.

Cell lengths 4.627, 4.627, 8.179 Å; angles 90.00, 90.00, 90.00 degrees
Fractional positions:
Hf: 0.000 0.000 0.000
Hf: 0.500 0.500 0.000
Ho: 0.000 0.500 0.715
Ho: 0.500 0.000 0.285
Dy: 0.000 0.500 0.287
Dy: 0.500 0.000 0.713

***

## ii
The following is a PBE calculation of a geometry-optimized DyHoHf structure, from Alexandria.

Cell lengths 3.376, 5.312, 5.312 Å; angles 120.00, 90.00, 90.00 degrees
Fractional positions:
Hf: 0.167 0.333 0.667
Ho: 0.667 0.667 0.333
Dy: 0.167 0.000 0.000

***

## iii
The following is a PBE calculation of a geometry-optimized DyHoHf structure, from Alexandria.

Cell lengths 9.185, 3.403, 14.829 Å; angles 117.28, 28.38, 100.66 degrees
Fractional positions:
Dy: 0.537 0.819 0.843
Dy: 0.499 0.233 0.308
Ho: 0.931 0.467 0.819
Ho: 0.105 0.584 0.332
Hf: 0.264 0.110 0.806
Hf: 0.773 0.942 0.344

***

Which one sits at the bottom of the stability order? i does.